Below is a geometry-optimized La3Al2Tl structure, with properties calculated at the PBE level.

Structure (POSCAR):
```
La3Al2Tl
1.0
3.837 0.000 0.000
0.000 3.837 0.000
0.000 0.000 11.756
La Al Tl
3 2 1
direct
0.000 0.000 0.000
0.000 0.000 0.319
0.000 0.000 0.681
0.500 0.500 0.160
0.500 0.500 0.840
0.500 0.500 0.500
```

Output
ΔH_f (0 K)	-0.38	eV/atom
density of states at the Fermi level	0.502	states/eV/atom
M_tot	0.00	μB/f.u.

Below is a geometry-optimized LaAlTl structure, with properties calculated at the PBE level.

Structure (POSCAR):
```
LaAlTl
1.0
0.000 3.676 3.676
3.676 0.000 3.676
3.676 3.676 0.000
La Al Tl
1 1 1
direct
0.000 0.000 0.000
0.750 0.750 0.750
0.250 0.250 0.250
```

Output
ΔH_f (0 K)	0.14	eV/atom
density of states at the Fermi level	0.966	states/eV/atom
M_tot	0.00	μB/f.u.